Entry 1:
CaPm2Ir | PBE-GGA | optimized geometry

Unit cell a=4.1702 b=4.1702 c=27.9171 alpha=90.00 beta=90.00 gamma=120.00
Space group R3m (No. 160, hexagonal axes)
Inequivalent atoms, fractional coordinates:
Ca: 0.0000 0.0000 0.0000 (multiplicity 3)
Pm: 0.0000 0.0000 0.5507 (multiplicity 3)
Pm: 0.0000 0.0000 0.7785 (multiplicity 3)
Ir: 0.0000 0.0000 0.1645 (multiplicity 3)

Calculated values
The magnetization comes out at 0.0 μB/f.u. For the formation energy, the calculation gives -0.366 eV per atom. As for the crystal system: trigonal.

***

Entry 2:
CaPm5Ir3 | PBE-GGA | optimized geometry

Unit cell a=15.698 b=6.952 c=9.692 alpha=90.00 beta=108.02 gamma=90.00
Space group C2/c (No. 15)
Inequivalent atoms, fractional coordinates:
Ca: 0.000 0.223 0.250 (multiplicity 4)
Pm: 0.000 0.274 0.750 (multiplicity 4)
Pm: 0.164 0.258 0.576 (multiplicity 8)
Pm: 0.167 0.242 0.089 (multiplicity 8)
Ir: 0.000 0.500 0.000 (multiplicity 4)
Ir: 0.172 0.016 0.835 (multiplicity 8)

Calculated values
The magnetization comes out at 0.0 μB/f.u. For the formation energy, the calculation gives -0.548 eV per atom. As for the crystal system: monoclinic.

***

Entry 3:
CaPmIr4 | PBE-GGA | optimized geometry

Unit cell a=7.631 b=7.631 c=7.631 alpha=90.00 beta=90.00 gamma=90.00
Space group F-43m (No. 216)
Inequivalent atoms, fractional coordinates:
Ca: 0.000 0.000 0.000 (multiplicity 4)
Pm: 0.250 0.250 0.250 (multiplicity 4)
Ir: 0.125 0.125 0.625 (multiplicity 16)

Calculated values
The magnetization comes out at 0.0 μB/f.u. For the formation energy, the calculation gives -0.603 eV per atom. As for the crystal system: cubic.

***

Entry 4:
CaPmIr | PBE-GGA | optimized geometry

Unit cell a=3.510 b=3.510 c=13.388 alpha=90.00 beta=90.00 gamma=90.00
Space group I4mm (No. 107)
Inequivalent atoms, fractional coordinates:
Ca: 0.000 0.000 0.000 (multiplicity 2)
Pm: 0.000 0.000 0.251 (multiplicity 2)
Ir: 0.000 0.000 0.636 (multiplicity 2)

Calculated values
The magnetization comes out at 0.0 μB/f.u. For the formation energy, the calculation gives -0.408 eV per atom. As for the crystal system: tetragonal.

***

Entry 5:
CaPmIr | PBE-GGA | optimized geometry

Unit cell a=6.916 b=6.916 c=6.916 alpha=90.00 beta=90.00 gamma=90.00
Space group F-43m (No. 216)
Inequivalent atoms, fractional coordinates:
Ca: 0.000 0.000 0.000 (multiplicity 4)
Pm: 0.000 0.000 0.500 (multiplicity 4)
Ir: 0.250 0.250 0.750 (multiplicity 4)

Calculated values
The magnetization comes out at 0.0 μB/f.u. For the formation energy, the calculation gives -0.457 eV per atom. As for the crystal system: cubic.

***

Entry 6:
CaPm2Ir | PBE-GGA | optimized geometry

Unit cell a=4.0763 b=4.0763 c=32.3088 alpha=90.00 beta=90.00 gamma=120.00
Space group R-3m (No. 166, hexagonal axes)
Inequivalent atoms, fractional coordinates:
Ca: 0.0000 0.0000 0.0000 (multiplicity 3)
Pm: 0.0000 0.0000 0.1194 (multiplicity 6)
Ir: 0.0000 0.0000 0.5000 (multiplicity 3)

Calculated values
The magnetization comes out at 0.0 μB/f.u. For the formation energy, the calculation gives -0.237 eV per atom. As for the crystal system: trigonal.

***

Entry 7:
Ca2Pm5Ir3 | PBE-GGA | optimized geometry

Unit cell a=4.723 b=30.293 c=7.684 alpha=90.00 beta=90.00 gamma=90.00
Space group Cmc2_1 (No. 36)
Inequivalent atoms, fractional coordinates:
Ca: 0.000 0.026 0.000 (multiplicity 4)
Ca: 0.000 0.336 0.067 (multiplicity 4)
Pm: 0.000 0.092 0.376 (multiplicity 4)
Pm: 0.000 0.206 0.836 (multiplicity 4)
Pm: 0.000 0.212 0.277 (multiplicity 4)
Pm: 0.000 0.376 0.521 (multiplicity 4)
Pm: 0.000 0.451 0.166 (multiplicity 4)
Ir: 0.000 0.108 0.757 (multiplicity 4)
Ir: 0.000 0.278 0.558 (multiplicity 4)
Ir: 0.000 0.456 0.786 (multiplicity 4)

Calculated values
The magnetization comes out at 0.0 μB/f.u. For the formation energy, the calculation gives -0.472 eV per atom. As for the crystal system: orthorhombic.

***

Entry 8:
CaPmIr2 | PBE-GGA | optimized geometry

Unit cell a=3.496 b=3.496 c=6.860 alpha=90.00 beta=90.00 gamma=90.00
Space group P4/mmm (No. 123)
Inequivalent atoms, fractional coordinates:
Ca: 0.000 0.000 0.000 (multiplicity 1)
Pm: 0.000 0.000 0.500 (multiplicity 1)
Ir: 0.500 0.500 0.256 (multiplicity 2)

Calculated values
The magnetization comes out at 0.0 μB/f.u. For the formation energy, the calculation gives -0.371 eV per atom. As for the crystal system: tetragonal.